(1)
This record from Alexandria via LeMat-Bulk describes a geometry-optimized BaTmCu2 structure. The functional is GGA-PBE.

```
4
Lattice="3.641 0.000 0.000 0.000 3.641 0.000 0.000 0.000 7.457" Properties=species:S:1:pos:R:3 pbc="T T T"
Cu 0.000 0.000 6.118
Cu 0.000 0.000 1.339
Ba 1.821 1.821 3.729
Tm 1.821 1.821 0.000
```

Values from the calculation:
Energy of formation   -0.09 eV per atom

---

(2)
This record from Alexandria via LeMat-Bulk describes a geometry-optimized Tb3Ce2ScP6 structure. The functional is GGA-PBE.

```
12
Lattice="-0.653 0.995 3.829 -4.619 -6.482 0.898 8.283 -3.380 0.191" Properties=species:S:1:pos:R:3 pbc="T T T"
P 6.513 -3.929 4.231
Ce 1.920 -5.786 3.931
P -0.370 -4.249 3.141
Tb -2.636 -2.743 2.364
P 3.381 -4.618 1.777
Tb -1.202 -6.375 1.452
Ce 1.092 -3.081 0.987
Tb 4.214 -2.492 3.466
P -3.501 -4.938 0.687
P 1.124 -7.911 2.248
P 1.888 -0.956 2.670
Sc -0.326 0.498 1.915
```

Values from the calculation:
Energy of formation   -1.54 eV per atom

---

(3)
This record from Alexandria via LeMat-Bulk describes a geometry-optimized Na7Tl12Pb structure. The functional is GGA-PBE.

```
20
Lattice="-3.646 -1.094 -10.637 6.519 -5.295 2.310 -3.075 -7.864 -2.137" Properties=species:S:1:pos:R:3 pbc="T T T"
Na -1.823 -0.547 -5.319
Tl 2.355 -3.565 -2.952
Tl -2.109 -7.695 -8.996
Tl 2.549 -9.725 0.124
Tl 2.536 -10.573 -5.270
Tl -0.717 -5.430 -3.193
Tl -2.557 -10.688 -7.512
Tl -2.751 -4.529 -10.588
Pb 0.000 0.000 0.000
Tl -0.378 -5.388 -7.313
Tl 0.515 -8.823 -7.271
Tl 0.176 -8.865 -3.151
Na 4.206 -4.038 0.085
Na 1.821 -6.630 -5.054
Na -1.371 -2.288 -2.183
Na -2.023 -7.623 -5.410
Na -4.408 -10.215 -10.549
Na 1.169 -11.966 -8.281
Tl -2.737 -3.680 -5.194
Tl 1.907 -6.558 -1.468
```

Values from the calculation:
Energy of formation   -0.07 eV per atom

---

(4)
This record from Alexandria via LeMat-Bulk describes a geometry-optimized LiMgZr3 structure. The functional is GGA-PBE.

```
5
Lattice="5.150 0.000 0.000 0.000 5.150 0.000 0.000 0.000 5.150" Properties=species:S:1:pos:R:3 pbc="T T T"
Zr 0.000 0.000 2.575
Zr 0.000 2.575 0.000
Mg 0.000 0.000 0.000
Zr 2.575 0.000 0.000
Li 2.575 2.575 2.575
```

Values from the calculation:
Energy of formation   1.18 eV per atom